(1)
# KReAsSe2

Crystalline KReAsSe2 at its relaxed geometry (PBE, Alexandria).

Summary:
- formation energy from raw total energies (eV/atom) = 0.03
- magnetization (μB/f.u.) = 0.53

Geometry as POSCAR:
```
KReAsSe2
1.0
5.135 0.000 0.000
0.000 5.135 0.000
0.000 0.000 4.802
Re As K Se
1 1 1 2
Cartesian
0.000 0.000 0.000
0.000 0.000 2.401
2.568 2.568 2.401
0.000 2.568 0.000
2.568 0.000 0.000
```

---

(2)
# KReAsSe2

Crystalline KReAsSe2 at its relaxed geometry (PBE, Alexandria).

Summary:
- formation energy from raw total energies (eV/atom) = 2.49
- magnetization (μB/f.u.) = 0.00

Geometry as POSCAR:
```
KReAsSe2
1.0
-0.133 2.918 4.351
-4.907 -1.595 0.919
1.779 -3.925 2.687
Re As K Se
1 1 1 2
Cartesian
-1.630 -1.301 3.979
0.890 -1.962 1.343
0.000 0.000 0.000
-2.453 -0.797 0.460
-0.067 1.459 2.175
```

---

Number 1: energy relative to the lowest polymorph listed for this composition 0.0000 eV per atom. Number 2: energy relative to the lowest polymorph listed for this composition 2.4609 eV per atom.